No. 1
## ScGeSCl2 (PBE-GGA)

Data for crystalline ScGeSCl2 at its relaxed geometry.

Lattice parameters (Å, degrees): 4.907 4.907 5.096 90.00 90.00 90.00
Positions (direct):
Sc 0.000 0.000 0.000
Ge 0.500 0.500 0.500
S 0.500 0.500 0.000
Cl 0.000 0.500 0.500
Cl 0.500 0.000 0.500

magnetization: 1.12 μB per formula unit
N(E_F): 1.2625 states/eV per atom
total energy: -4.10 eV/atom
energy relative to the elements, uncorrected: -0.345 eV/atom

=====

No. 2
## Mn2Ir2Pb (PBE-GGA)

Data for crystalline Mn2Ir2Pb at its relaxed geometry.

Lattice parameters (Å, degrees): 7.439 7.439 2.776 90.00 90.00 90.00
Positions (direct):
Mn 0.118 0.382 0.000
Mn 0.382 0.882 0.000
Mn 0.618 0.118 0.000
Mn 0.882 0.618 0.000
Ir 0.166 0.666 0.500
Ir 0.334 0.166 0.500
Ir 0.666 0.834 0.500
Ir 0.834 0.334 0.500
Pb 0.000 0.000 0.000
Pb 0.500 0.500 0.000

magnetization: 0.00 μB per formula unit
N(E_F): 1.1454 states/eV per atom
DFT formation energy: 0.3961 eV/atom
total energy: -7.56 eV/atom

=====

No. 3
## LaP2WCl (PBE-GGA)

Data for crystalline LaP2WCl at its relaxed geometry.

Lattice parameters (Å, degrees): 5.542 5.542 5.248 90.00 90.00 90.00
Positions (direct):
La 0.000 0.000 0.000
P 0.000 0.500 0.000
P 0.500 0.000 0.000
W 0.500 0.500 0.500
Cl 0.000 0.000 0.500

magnetization: 3.18 μB per formula unit
N(E_F): 0.7839 states/eV per atom
total energy: -4.95 eV/atom
energy relative to the elements, uncorrected: 1.162 eV/atom

=====

No. 4
## GeTe2CN (PBE-GGA)

Data for crystalline GeTe2CN at its relaxed geometry.

Lattice parameters (Å, degrees): 5.570 5.570 3.483 90.00 90.00 90.00
Positions (direct):
Ge 0.000 0.000 0.000
Te 0.000 0.500 0.000
Te 0.500 0.000 0.000
C 0.500 0.500 0.500
N 0.000 0.000 0.500

magnetization: 0.54 μB per formula unit
N(E_F): 0.7109 states/eV per atom
total energy: -3.79 eV/atom
energy relative to the elements, uncorrected: 1.903 eV/atom

=====

No. 5
## KHg3Pt (PBE-GGA)

Data for crystalline KHg3Pt at its relaxed geometry.

Lattice parameters (Å, degrees): 9.144 9.144 7.396 102.75 102.75 91.06
Positions (direct):
K 0.016 0.304 0.170
K 0.304 0.016 0.670
K 0.696 0.984 0.330
K 0.984 0.696 0.830
Hg 0.004 0.739 0.314
Hg 0.244 0.571 0.539
Hg 0.261 0.996 0.186
Hg 0.267 0.424 0.919
Hg 0.424 0.267 0.419
Hg 0.429 0.756 0.961
Hg 0.571 0.244 0.039
Hg 0.576 0.733 0.581
Hg 0.733 0.576 0.081
Hg 0.739 0.004 0.814
Hg 0.756 0.429 0.461
Hg 0.996 0.261 0.686
Pt 0.288 0.712 0.250
Pt 0.491 0.509 0.250
Pt 0.509 0.491 0.750
Pt 0.712 0.288 0.750

magnetization: 0.00 μB per formula unit
N(E_F): 0.2912 states/eV per atom
DFT formation energy: -0.1027 eV/atom
total energy: -1.71 eV/atom

=====

No. 6
## CaLa2Tc (PBE-GGA)

Data for crystalline CaLa2Tc at its relaxed geometry.

Lattice parameters (Å, degrees): 6.361 6.361 6.361 144.49 123.02 68.96
Positions (direct):
Ca 0.000 0.000 0.000
La 0.317 0.817 0.500
La 0.683 0.183 0.500
Tc 0.500 0.500 0.000

magnetization: 0.00 μB per formula unit
N(E_F): 0.7638 states/eV per atom
DFT formation energy: 0.1201 eV/atom
total energy: -5.44 eV/atom